Below is crystalline HoTmSi at its relaxed geometry, with properties calculated at the PBE level.

a = 3.3607 Å, b = 3.3607 Å, c = 13.0006 Å
α = 90.00°, β = 90.00°, γ = 90.00°
Last column: nearest neighbours and their distance in Å.
Space group I4mm (No. 107)
One atom of each set of equivalent atoms:
Ho 0.0000 0.0000 0.0000  4 Si 3.00
Tm 0.0000 0.0000 0.7220  4 Si 2.98
Si 0.0000 0.0000 0.3597  4 Tm 2.98, 4 Ho 3.00

- Raw formation energy: -1.100 eV/f.u.
- Total DFT energy (no corrections): -5.19 eV/atom